5
Lattice="-3.569 -3.976 -0.277 3.943 -3.576 0.531 -0.540 0.139 4.948" Properties=species:S:1:pos:R:3 comment="GGA-PBE BaLaIn2Fe, relaxed" formation_enthalpy_0k_ev_per_atom=-0.21 total_energy_ev_per_cell=-21.84 pbc="T T T"
In 1.971 -1.788 0.265
In -1.784 -1.988 -0.139
La -0.270 0.070 2.474
Fe 0.000 0.000 0.000
Ba -0.083 -3.706 2.601